Record 1
LiErPd GGA-PBE optimized geometry; energy of formation from the pure elements = -0.501 eV/atom; space group = I4mm (107); VASP energy = -13.2 eV per cell; energy above the most stable polymorph in this dataset = 2.79 kcal/mol of atoms; crystal system = tetragonal; calculated volume = 58 Å³ per cell
1.0
-1.004 -1.921 2.795
1.254 -2.919 -1.556
4.017 3.141 1.365
Li Pd Er
1 1 1
Direct
0.636 0.636 0.272
0.277 0.277 0.554
0.937 0.937 0.874


Record 2
Li6ErPd12 GGA-PBE optimized geometry; energy of formation from the pure elements = -0.433 eV/atom; space group = R-3 (148); VASP energy = -86.6 eV per cell; crystal system = trigonal; calculated volume = 290 Å³ per cell
1.0
7.240 -0.890 -1.066
-1.977 7.021 -1.066
-1.977 -2.304 6.717
Er Pd Li
1 12 6
Direct
0.000 0.000 0.000
0.211 0.319 0.482
0.898 0.831 0.267
0.169 0.733 0.102
0.831 0.267 0.898
0.267 0.898 0.831
0.518 0.789 0.681
0.789 0.681 0.518
0.681 0.518 0.789
0.102 0.169 0.733
0.319 0.482 0.211
0.733 0.102 0.169
0.482 0.211 0.319
0.437 0.643 0.947
0.643 0.947 0.437
0.357 0.053 0.563
0.053 0.563 0.357
0.563 0.357 0.053
0.947 0.437 0.643


Record 3
Li8ErPd6 GGA-PBE optimized geometry; energy of formation from the pure elements = -0.351 eV/atom; space group = R-3 (148); VASP energy = -56.3 eV per cell; crystal system = trigonal; calculated volume = 261 Å³ per cell
1.0
-2.032 6.004 4.716
-7.447 0.677 2.547
-2.078 -0.450 6.295
Pd Li Er
6 8 1
Direct
0.396 0.976 0.913
0.976 0.716 0.913
0.024 0.284 0.087
0.716 0.396 0.913
0.604 0.024 0.087
0.284 0.604 0.087
0.773 0.063 0.587
0.578 0.773 0.587
0.422 0.227 0.413
0.389 0.389 0.834
0.063 0.578 0.587
0.611 0.611 0.166
0.227 0.937 0.413
0.937 0.422 0.413
0.000 0.000 0.000


Record 4
LiEr5Pd6 GGA-PBE optimized geometry; energy of formation from the pure elements = -0.859 eV/atom; space group = C2/m (12); VASP energy = -66.2 eV per cell; crystal system = monoclinic; calculated volume = 243 Å³ per cell
1.0
-1.763 4.442 -0.912
-3.494 -5.190 -5.588
-1.054 -1.390 8.205
Pd Li Er
6 1 5
Direct
0.742 0.912 0.573
0.258 0.088 0.427
0.258 0.427 0.088
0.769 0.267 0.267
0.742 0.573 0.912
0.231 0.733 0.733
0.000 0.000 0.000
0.500 0.500 0.500
0.500 0.846 0.154
0.000 0.329 0.671
0.500 0.154 0.846
0.000 0.671 0.329


Record 5
LiEr2Pd3 GGA-PBE optimized geometry; energy of formation from the pure elements = -0.802 eV/atom; space group = P4/mmm (123); VASP energy = -31.4 eV per cell; energy above the most stable polymorph in this dataset = 0.00 kcal/mol of atoms; crystal system = tetragonal; calculated volume = 112 Å³ per cell
1.0
-2.959 0.284 1.745
-1.067 -3.000 -1.321
3.868 -4.594 7.308
Er Pd Li
2 3 1
Direct
0.500 0.500 0.185
0.500 0.500 0.815
0.000 0.000 0.000
0.000 0.000 0.351
0.000 0.000 0.649
0.500 0.500 0.500


Record 6
Li3ErPd6 GGA-PBE optimized geometry; energy of formation from the pure elements = -0.547 eV/atom; space group = P2_1/m (11); VASP energy = -93.9 eV per cell; crystal system = monoclinic; calculated volume = 306 Å³ per cell
1.0
4.296 0.000 0.000
0.000 7.764 -0.990
0.000 -0.771 9.264
Pd Li Er
12 6 2
Direct
0.750 0.385 0.303
0.250 0.820 0.278
0.250 0.615 0.697
0.750 0.843 0.786
0.750 0.180 0.722
0.250 0.459 0.103
0.750 0.932 0.083
0.250 0.272 0.524
0.250 0.068 0.917
0.250 0.157 0.214
0.750 0.541 0.897
0.750 0.728 0.476
0.750 0.646 0.177
0.250 0.750 0.976
0.250 0.354 0.823
0.250 0.541 0.397
0.750 0.459 0.603
0.750 0.250 0.024
0.750 0.064 0.380
0.250 0.936 0.620


Record 7
Li2ErPd9 GGA-PBE optimized geometry; energy of formation from the pure elements = -0.461 eV/atom; space group = P4/mmm (123); VASP energy = -60.7 eV per cell; crystal system = tetragonal; calculated volume = 187 Å³ per cell
1.0
-3.587 0.655 1.698
1.139 -2.118 3.224
4.087 9.668 4.906
Pd Li Er
9 2 1
Direct
0.500 0.000 0.500
0.500 0.500 0.660
0.000 0.500 0.180
0.500 0.000 0.820
0.000 0.500 0.820
0.500 0.000 0.180
0.500 0.500 0.000
0.500 0.500 0.340
0.000 0.500 0.500
0.000 0.000 0.342
0.000 0.000 0.658
0.000 0.000 0.000


Record 8
LiEr6Pd5 GGA-PBE optimized geometry; energy of formation from the pure elements = -0.769 eV/atom; space group = Immm (71); VASP energy = -64.5 eV per cell; crystal system = orthorhombic; calculated volume = 256 Å³ per cell
1.0
4.748 -0.004 -1.331
-3.558 6.915 -3.580
-0.178 -0.998 8.501
Er Pd Li
6 5 1
Direct
0.746 0.915 0.576
0.760 0.260 0.260
0.254 0.085 0.424
0.254 0.424 0.085
0.240 0.740 0.740
0.746 0.576 0.915
0.000 0.671 0.329
0.500 0.500 0.500
0.000 0.329 0.671
0.500 0.157 0.843
0.500 0.843 0.157
0.000 0.000 0.000


Record 9
LiErPd GGA-PBE optimized geometry; energy of formation from the pure elements = -0.493 eV/atom; space group = P3m1 (156); VASP energy = -13.1 eV per cell; energy above the most stable polymorph in this dataset = 2.97 kcal/mol of atoms; crystal system = trigonal; calculated volume = 59 Å³ per cell
1.0
3.605 0.000 0.000
0.000 4.336 0.000
0.000 -2.168 3.755
Pd Er Li
1 1 1
Direct
0.166 0.333 0.667
0.667 0.667 0.333
0.168 0.000 0.000


Record 10
LiEr2Pd3 GGA-PBE optimized geometry; energy of formation from the pure elements = -0.788 eV/atom; space group = P-3m1 (164); VASP energy = -62.7 eV per cell; energy above the most stable polymorph in this dataset = 0.32 kcal/mol of atoms; crystal system = trigonal; calculated volume = 229 Å³ per cell
1.0
-2.809 -3.668 1.295
3.698 1.286 2.774
-6.831 7.257 5.741
Er Pd Li
4 6 2
Direct
0.000 0.000 0.000
0.000 0.000 0.500
0.667 0.333 0.815
0.333 0.667 0.185
0.667 0.333 0.571
0.667 0.333 0.083
0.000 0.000 0.749
0.333 0.667 0.429
0.000 0.000 0.251
0.333 0.667 0.917
0.333 0.667 0.666
0.667 0.333 0.334


Number 1: DOS at the Fermi energy 0.68 states/eV/atom. Number 2: DOS at the Fermi energy 0.68 states/eV/atom. Number 3: DOS at the Fermi energy 0.34 states/eV/atom. Number 4: DOS at the Fermi energy 0.49 states/eV/atom. Number 5: DOS at the Fermi energy 0.35 states/eV/atom. Number 6: DOS at the Fermi energy 0.26 states/eV/atom. Number 7: DOS at the Fermi energy 1.02 states/eV/atom. Number 8: DOS at the Fermi energy 0.76 states/eV/atom. Number 9: DOS at the Fermi energy 0.45 states/eV/atom. Number 10: DOS at the Fermi energy 0.44 states/eV/atom.